## CeSm2Er6 (PBE)

Data for an optimized crystal structure of CeSm2Er6.

Unit cell a=8.9019 b=9.6102 c=13.2558 alpha=90.00 beta=98.12 gamma=90.00
Last column: nearest neighbours and their distance in Å.
Space group C2/c (No. 15)
Asymmetric unit:
Ce1 0.0000 0.0023 0.2500 (multiplicity 4)  10 Er 3.42-3.80, 4 Sm 3.55-3.63
Sm1 0.1767 0.3298 0.8235 (multiplicity 8)  6 Er 3.24-3.61, 1 Sm 3.46, 1 Ce 3.55
Er1 0.0080 0.1686 0.9914 (multiplicity 8)  5 Er 3.23-3.62, 2 Sm 3.25-3.46, 1 Ce 3.59
Er2 0.1573 0.3350 0.3429 (multiplicity 8)  5 Er 3.23-3.59, 2 Sm 3.24
Er3 0.1707 0.4983 0.5828 (multiplicity 8)  1 Ce 3.42, 9 Er 3.49-3.82, 3 Sm 3.57-3.82

Output
As for the density of states at the Fermi level: 1.8379 states/eV/atom.

***

## CeSmEr14 (PBE)

Data for an optimized crystal structure of CeSmEr14.

Unit cell a=11.0235 b=8.0543 c=11.1438 alpha=90.00 beta=90.00 gamma=90.00
Last column: nearest neighbours and their distance in Å.
Space group Amm2 (No. 38)
Asymmetric unit:
Ce1 0.0000 0.0000 0.0000 (multiplicity 2)  12 Er 3.38-3.78
Sm1 0.0000 0.0000 0.5616 (multiplicity 2)  10 Er 3.35-3.52
Er1 0.0000 0.2065 0.2832 (multiplicity 4)  7 Er 3.33-3.58, 2 Ce 3.38-3.57, 2 Sm 3.42-3.52
Er2 0.2357 0.0000 0.7656 (multiplicity 4)  9 Er 3.40-3.70, 1 Sm 3.45, 1 Ce 3.68
Er3 0.2505 0.2113 0.4876 (multiplicity 8)  9 Er 3.32-3.61, 1 Sm 3.35, 1 Ce 3.61
Er4 0.2680 0.0000 0.2110 (multiplicity 4)  10 Er 3.41-3.70, 1 Ce 3.78
Er5 0.5000 0.0000 0.4201 (multiplicity 2)  10 Er 3.32-3.51
Er6 0.5000 0.0000 0.9705 (multiplicity 2)  12 Er 3.46-3.70
Er7 0.5000 0.2056 0.6976 (multiplicity 4)  11 Er 3.31-3.61

Output
As for the density of states at the Fermi level: 1.8128 states/eV/atom.

***

Number 1: DFT formation energy 88 meV/atom, calculated total energy -167.85 eV for the cell shown. Number 2: DFT formation energy 67 meV/atom, calculated total energy -146.92 eV for the cell shown.